(1)
{"formula": "TlH3Pt", "functional": "SCAN", "state": "PBEsol geometry", "rho_g_cm3": 12.61, "n_ef_per_ev_fu": 1.124, "dft_energy_ev_per_atom": -30.47, "cell": [[-2.205, 2.548, -1.660], [-1.979, -2.759, -1.607], [-2.309, -0.068, 2.962]], "species": ["H", "H", "H", "Pt", "Tl"], "frac_coords": [[0.500, 0.000, 0.000], [0.000, 0.000, 0.500], [0.000, 0.500, 0.000], [0.000, 0.000, 0.000], [0.500, 0.500, 0.500]]}



(2)
{"formula": "Lu3B5O12", "functional": "SCAN", "state": "PBEsol geometry", "rho_g_cm3": 7.22, "n_ef_per_ev_fu": 0.000, "raw_formation_energy_ev_per_fu": -65.19, "dft_energy_ev_per_atom": -17.16, "cell": [[4.531, 0.000, 0.000], [0.000, 12.350, 0.000], [0.000, 0.000, 12.675]], "species": ["B", "B", "B", "B", "B", "B", "B", "B", "B", "B", "B", "B", "B", "B", "B", "B", "B", "B", "B", "B", "Lu", "Lu", "Lu", "Lu", "Lu", "Lu", "Lu", "Lu", "Lu", "Lu", "Lu", "Lu", "O", "O", "O", "O", "O", "O", "O", "O", "O", "O", "O", "O", "O", "O", "O", "O", "O", "O", "O", "O", "O", "O", "O", "O", "O", "O", "O", "O", "O", "O", "O", "O", "O", "O", "O", "O", "O", "O", "O", "O", "O", "O", "O", "O", "O", "O", "O", "O"], "frac_coords": [[0.465, 0.850, 0.702], [0.500, 0.000, 0.838], [0.543, 0.628, 0.500], [0.464, 0.352, 0.000], [0.536, 0.852, 0.500], [0.457, 0.128, 0.000], [0.465, 0.850, 0.298], [0.535, 0.150, 0.298], [0.500, 0.000, 0.162], [0.500, 0.500, 0.662], [0.536, 0.648, 0.000], [0.535, 0.350, 0.202], [0.457, 0.372, 0.500], [0.464, 0.148, 0.500], [0.543, 0.872, 0.000], [0.535, 0.150, 0.702], [0.535, 0.350, 0.798], [0.465, 0.650, 0.202], [0.465, 0.650, 0.798], [0.500, 0.500, 0.338], [0.004, 0.194, 0.136], [0.996, 0.806, 0.864], [0.996, 0.694, 0.364], [0.000, 0.000, 0.632], [0.996, 0.806, 0.136], [0.004, 0.306, 0.364], [0.004, 0.306, 0.636], [0.004, 0.194, 0.864], [0.996, 0.694, 0.636], [0.000, 0.500, 0.868], [0.000, 0.500, 0.132], [0.000, 0.000, 0.368], [0.235, 0.641, 0.500], [0.664, 0.250, 0.750], [0.665, 0.356, 0.905], [0.219, 0.348, 0.796], [0.219, 0.348, 0.204], [0.666, 0.924, 0.904], [0.302, 0.260, 0.500], [0.304, 0.564, 0.733], [0.781, 0.652, 0.204], [0.335, 0.856, 0.595], [0.665, 0.356, 0.095], [0.665, 0.144, 0.595], [0.765, 0.141, 0.000], [0.235, 0.859, 0.000], [0.334, 0.076, 0.096], [0.781, 0.652, 0.796], [0.666, 0.576, 0.596], [0.781, 0.848, 0.296], [0.698, 0.760, 0.000], [0.336, 0.750, 0.750], [0.335, 0.644, 0.905], [0.304, 0.936, 0.767], [0.334, 0.076, 0.904], [0.781, 0.848, 0.704], [0.696, 0.436, 0.267], [0.335, 0.856, 0.405], [0.698, 0.740, 0.500], [0.336, 0.750, 0.250], [0.665, 0.144, 0.405], [0.759, 0.568, 0.000], [0.304, 0.564, 0.267], [0.664, 0.250, 0.250], [0.241, 0.068, 0.500], [0.666, 0.924, 0.096], [0.334, 0.424, 0.404], [0.335, 0.644, 0.095], [0.219, 0.152, 0.704], [0.765, 0.359, 0.500], [0.696, 0.064, 0.767], [0.302, 0.240, 0.000], [0.759, 0.932, 0.500], [0.666, 0.576, 0.404], [0.696, 0.436, 0.733], [0.219, 0.152, 0.296], [0.334, 0.424, 0.596], [0.304, 0.936, 0.233], [0.696, 0.064, 0.233], [0.241, 0.432, 0.000]]}



(3)
{"formula": "TiPO4", "functional": "SCAN", "state": "PBEsol geometry", "rho_g_cm3": 3.28, "n_ef_per_ev_fu": 1.639, "raw_formation_energy_ev_per_fu": -16.65, "dft_energy_ev_per_atom": -11.33, "cell": [[8.278, -0.142, -0.101], [3.798, 7.356, -0.101], [3.798, 2.269, 6.998]], "species": ["O", "O", "O", "O", "O", "O", "O", "O", "O", "O", "O", "O", "O", "O", "O", "O", "O", "O", "O", "O", "O", "O", "O", "O", "Ti", "Ti", "Ti", "Ti", "Ti", "Ti", "P", "P", "P", "P", "P", "P"], "frac_coords": [[0.497, 0.116, 0.328], [0.600, 0.448, 0.239], [0.116, 0.328, 0.497], [0.884, 0.672, 0.503], [0.328, 0.497, 0.116], [0.948, 0.100, 0.739], [0.503, 0.884, 0.672], [0.761, 0.400, 0.552], [0.828, 0.616, 0.997], [0.739, 0.948, 0.100], [0.448, 0.239, 0.600], [0.400, 0.552, 0.761], [0.552, 0.761, 0.400], [0.100, 0.739, 0.948], [0.261, 0.052, 0.900], [0.384, 0.003, 0.172], [0.239, 0.600, 0.448], [0.172, 0.384, 0.003], [0.900, 0.261, 0.052], [0.052, 0.900, 0.261], [0.003, 0.172, 0.384], [0.997, 0.828, 0.616], [0.672, 0.503, 0.884], [0.616, 0.997, 0.828], [0.864, 0.864, 0.864], [0.136, 0.136, 0.136], [0.364, 0.364, 0.364], [0.000, 0.000, 0.000], [0.636, 0.636, 0.636], [0.500, 0.500, 0.500], [0.038, 0.750, 0.462], [0.250, 0.538, 0.962], [0.750, 0.462, 0.038], [0.962, 0.250, 0.538], [0.538, 0.962, 0.250], [0.462, 0.038, 0.750]]}



(4)
{"formula": "CuTeRu3", "functional": "SCAN", "state": "PBEsol geometry", "rho_g_cm3": 9.55, "n_ef_per_ev_fu": 3.552, "raw_formation_energy_ev_per_fu": 7.50, "dft_energy_ev_per_atom": -29.89, "relative_energy_ev_per_atom": 0.000, "cell": [[-0.149, -2.099, 3.879], [4.407, -0.237, 0.041], [0.189, 3.875, 2.104]], "species": ["Ru", "Ru", "Ru", "Cu", "Te"], "frac_coords": [[0.000, 0.000, 0.500], [0.500, 0.000, 0.000], [0.000, 0.500, 0.000], [0.000, 0.000, 0.000], [0.500, 0.500, 0.500]]}



(5)
{"formula": "BaTaAu2", "functional": "SCAN", "state": "PBEsol geometry", "rho_g_cm3": 12.94, "n_ef_per_ev_fu": 3.056, "dft_energy_ev_per_atom": -60.93, "e_form_kj_per_mol_fu": 69.6, "cell": [[-3.418, -0.042, -0.376], [0.377, -0.574, -3.371], [-0.048, -7.614, 1.292]], "species": ["Ta", "Au", "Au", "Ba"], "frac_coords": [[0.500, 0.500, 0.828], [0.000, 0.000, 0.993], [0.500, 0.500, 0.191], [0.000, 0.000, 0.488]]}



(6)
{"formula": "Y2ZnRe", "functional": "SCAN", "state": "PBEsol geometry", "rho_g_cm3": 8.09, "n_ef_per_ev_fu": 3.352, "dft_energy_ev_per_atom": -34.64, "e_form_kj_per_mol_fu": 166.1, "cell": [[-1.499, 2.433, 1.679], [-2.255, 1.906, -1.505], [-7.937, -4.442, 2.622]], "species": ["Zn", "Y", "Y", "Re"], "frac_coords": [[0.513, 0.513, 0.462], [0.764, 0.764, 0.707], [0.982, 0.982, 0.055], [0.242, 0.242, 0.275]]}